[1]
This record from Alexandria describes a relaxed BaMo2W crystal. The functional is PBE.

Unit cell a=4.411 b=4.411 c=7.159 alpha=95.40 beta=95.40 gamma=42.42
Positions (direct):
Ba1 0.000 0.000 0.000
Mo1 0.227 0.227 0.657
Mo2 0.773 0.773 0.343
W1 0.500 0.500 0.500

Total moment (μB per formula unit): 0.00
DFT formation energy (kJ/mol of formula units): 370

***

[2]
This record from Alexandria describes a relaxed Ba2MoW crystal. The functional is PBE.

Unit cell a=6.431 b=6.431 c=3.019 alpha=90.26 beta=90.26 gamma=124.18
Positions (direct):
Ba1 0.000 0.500 0.000
Ba2 0.500 0.000 0.000
Mo1 0.000 0.000 0.500
W1 0.500 0.500 0.500

Total moment (μB per formula unit): 0.00
DFT formation energy (kJ/mol of formula units): 623

***

[3]
This record from Alexandria describes a relaxed BaMo2W crystal. The functional is PBE.

Unit cell a=3.047 b=4.188 c=7.544 alpha=90.00 beta=100.85 gamma=90.00
Positions (direct):
Ba1 0.000 0.000 0.000
Mo1 0.591 0.000 0.497
Mo2 0.865 0.500 0.348
W1 0.298 0.500 0.649

Total moment (μB per formula unit): 0.00
DFT formation energy (kJ/mol of formula units): 327

***

[4]
This record from Alexandria describes a relaxed BaMo2W crystal. The functional is PBE.

Unit cell a=4.859 b=4.859 c=3.244 alpha=90.00 beta=90.00 gamma=90.00
Positions (direct):
Ba1 0.000 0.000 0.000
Mo1 0.000 0.500 0.500
Mo2 0.500 0.000 0.500
W1 0.500 0.500 0.000

Total moment (μB per formula unit): 0.00
DFT formation energy (kJ/mol of formula units): 532

***

[5]
This record from Alexandria describes a relaxed BaMoW crystal. The functional is PBE.

Unit cell a=8.286 b=8.053 c=3.071 alpha=83.46 beta=74.94 gamma=21.60
Positions (direct):
Ba1 0.000 0.000 0.000
Mo1 0.309 0.309 0.691
W1 0.692 0.692 0.308

Total moment (μB per formula unit): 0.00
DFT formation energy (kJ/mol of formula units): 296

***

[6]
This record from Alexandria describes a relaxed Ba2MoW crystal. The functional is PBE.

Unit cell a=3.489 b=3.489 c=10.219 alpha=90.00 beta=90.00 gamma=90.00
Positions (direct):
Ba1 0.000 0.000 0.000
Ba2 0.500 0.500 0.394
Mo1 0.000 0.000 0.651
W1 0.500 0.500 0.742

Total moment (μB per formula unit): 0.70
DFT formation energy (kJ/mol of formula units): 285